Entry 1:
Density functional theory data (GGA-PBE) for Cu2IrBr after structural relaxation.

Values from the calculation:
Size of the total moment in μB/f.u.: 0.00
ΔE_f (raw) in kcal/mol of atoms: 13.8
Energy above the lowest structure with this stoichiometry in meV per atom: 199

```
8
Lattice="2.860 0.000 0.000 0.000 4.588 0.000 0.000 0.000 10.237" Properties=species:S:1:pos:R:3 pbc="T T T"
Cu 0.000 0.000 0.000
Cu 0.000 2.294 1.979
Cu 1.430 0.000 1.979
Cu 1.430 2.294 0.000
Ir 0.000 0.000 4.095
Ir 1.430 2.294 4.095
Br 0.000 2.294 7.676
Br 1.430 0.000 7.676
```

Entry 2:
Density functional theory data (GGA-PBE) for CdTe2Rh after structural relaxation.

Values from the calculation:
Size of the total moment in μB/f.u.: 0.00
ΔE_f (raw) in kcal/mol of atoms: -2.3

```
4
Lattice="4.996 0.000 0.000 0.000 4.641 0.000 -2.210 0.000 4.494" Properties=species:S:1:pos:R:3 pbc="T T T"
Cd 0.000 0.000 0.000
Te -0.652 2.320 3.528
Te 2.486 0.000 1.570
Rh 3.569 2.320 0.899
```

Entry 3:
Density functional theory data (GGA-PBE) for LiScSiAg after structural relaxation.

Values from the calculation:
Size of the total moment in μB/f.u.: 0.00
ΔE_f (raw) in kcal/mol of atoms: -8.1

```
16
Lattice="6.493 0.000 0.000 0.000 6.493 0.000 0.000 0.000 6.493" Properties=species:S:1:pos:R:3 pbc="T T T"
Li 0.000 0.000 0.000
Li 0.000 3.247 3.247
Li 3.247 0.000 3.247
Li 3.247 3.247 0.000
Sc 0.000 0.000 3.247
Sc 0.000 3.247 0.000
Sc 3.247 0.000 0.000
Sc 3.247 3.247 3.247
Si 1.623 1.623 1.623
Si 1.623 4.870 4.870
Si 4.870 1.623 4.870
Si 4.870 4.870 1.623
Ag 1.623 1.623 4.870
Ag 1.623 4.870 1.623
Ag 4.870 1.623 1.623
Ag 4.870 4.870 4.870
```

Entry 4:
Density functional theory data (GGA-PBE) for LiPm2Ga5 after structural relaxation.

Values from the calculation:
Size of the total moment in μB/f.u.: 0.00
E_form in eV per atom: -0.481

```
16
Lattice="8.663 0.000 0.000 0.000 8.753 0.000 -4.313 0.000 4.374" Properties=species:S:1:pos:R:3 pbc="T T T"
Li 0.000 0.000 0.000
Li 4.332 4.377 0.000
Pm -0.438 2.194 2.183
Pm -0.438 6.560 2.183
Pm 3.893 2.183 2.183
Pm 3.893 6.570 2.183
Ga -2.601 2.354 4.374
Ga -2.601 6.399 4.374
Ga -0.733 0.000 4.363
Ga 1.729 4.377 1.950
Ga 1.727 0.000 2.416
Ga 1.731 2.022 4.374
Ga 1.731 6.731 4.374
Ga 3.599 4.377 4.363
Ga 6.060 0.000 1.950
Ga 6.058 4.377 2.416
```

Entry 5:
Density functional theory data (GGA-PBE) for Pm2MgAl4Pd3 after structural relaxation.

Values from the calculation:
Size of the total moment in μB/f.u.: 0.00
E_form in eV per atom: -0.712

```
10
Lattice="4.235 0.000 0.000 0.000 4.235 0.000 0.000 0.000 11.139" Properties=species:S:1:pos:R:3 pbc="T T T"
Pm 0.000 2.118 2.629
Pm 2.118 0.000 8.510
Mg 0.000 0.000 5.569
Al 0.000 0.000 0.000
Al 0.000 2.118 7.233
Al 2.118 0.000 3.905
Al 2.118 2.118 0.000
Pd 0.000 2.118 9.725
Pd 2.118 0.000 1.414
Pd 2.118 2.118 5.569
```

Entry 6:
Density functional theory data (GGA-PBE) for Cu3AsH after structural relaxation.

Values from the calculation:
Size of the total moment in μB/f.u.: 1.00
Energy above the lowest structure with this stoichiometry in meV per atom: 606

```
5
Lattice="4.564 0.000 0.000 0.000 4.564 0.000 0.000 0.000 4.564" Properties=species:S:1:pos:R:3 pbc="T T T"
Cu 0.000 0.000 2.282
Cu 0.000 2.282 0.000
Cu 2.282 0.000 0.000
As 0.000 0.000 0.000
H 2.282 2.282 2.282
```

Entry 7:
Density functional theory data (GGA-PBE) for CaFeAg2 after structural relaxation.

Values from the calculation:
Size of the total moment in μB/f.u.: 3.14
Energy above the lowest structure with this stoichiometry in meV per atom: 0
E_form in eV per atom: 0.201

```
4
Lattice="3.231 0.000 0.000 0.000 3.500 0.000 0.000 0.000 7.019" Properties=species:S:1:pos:R:3 pbc="T T T"
Ca 0.000 0.000 0.000
Fe 0.000 0.000 3.510
Ag 1.615 1.750 2.079
Ag 1.615 1.750 4.940
```

Entry 8:
Density functional theory data (GGA-PBE) for HfMn2Te5 after structural relaxation.

Values from the calculation:
Size of the total moment in μB/f.u.: 8.10
ΔE_f (raw) in kcal/mol of atoms: -3.4

```
16
Lattice="5.852 0.000 0.000 0.000 13.297 0.000 -0.468 0.000 6.695" Properties=species:S:1:pos:R:3 pbc="T T T"
Hf 0.000 0.000 0.000
Hf 2.926 6.649 0.000
Mn 0.000 3.871 0.000
Mn 0.000 9.426 0.000
Mn 2.926 2.778 0.000
Mn 2.926 10.520 0.000
Te 0.000 6.649 0.000
Te 0.850 2.110 1.831
Te 0.850 11.188 1.831
Te 1.609 4.539 4.864
Te 1.609 8.758 4.864
Te 2.926 0.000 0.000
Te 3.776 4.539 1.831
Te 3.776 8.758 1.831
Te 4.535 2.110 4.864
Te 4.535 11.188 4.864
```